The following is a DFT calculation (PBE) of a relaxed structure of Tb4HoBi5.

Lattice parameters (Å, degrees): 11.856 11.856 11.856 158.20 149.00 38.22
Sites, in units of the cell vectors:
Tb  0.100  0.100  0.000
Tb  0.300  0.300  0.000
Tb  0.700  0.700  0.000
Tb  0.900  0.900  0.000
Ho  0.500  0.500  0.000
Bi  0.000  0.500  0.500
Bi  0.200  0.700  0.500
Bi  0.401  0.901  0.500
Bi  0.599  0.099  0.500
Bi  0.800  0.300  0.500

Theoretical density = 9.6 Mg/m³
Formation enthalpy at 0 K = -0.872 eV per atom
Energy = -5.122 eV per atom
Total magnetization = 0.000 μB/f.u.